Record 1
Compound: BeCdIr
Source: Alexandria
Functional: PBE-GGA
Structure: optimized geometry

Properties
The energy above the most stable polymorph in this dataset comes out at 0.286 eV per atom. The formation energy is 0.098 eV per atom. Its size of the total moment is 0.0 μB/f.u.

The structure in CIF format:
```
data_BeCdIr
_chemical_formula_sum 'Be4 Cd4 Ir4'
_cell_length_a 5.660
_cell_length_b 5.660
_cell_length_c 5.660
_cell_angle_alpha 90.00
_cell_angle_beta 90.00
_cell_angle_gamma 90.00
_symmetry_space_group_name_H-M 'F -4 3 m'
_symmetry_Int_Tables_number 216
_symmetry_space_group_name_Hall 'F -4 2 3'
loop_
_atom_site_label
_atom_site_type_symbol
_atom_site_fract_x
_atom_site_fract_y
_atom_site_fract_z
_atom_site_occupancy
Be1 Be 0.000 0.000 0.000 1
Cd1 Cd 0.250 0.250 0.250 1
Ir1 Ir 0.250 0.250 0.750 1
```

***

Record 2
Compound: BeCd2Ir
Source: Alexandria
Functional: PBE-GGA
Structure: optimized geometry

Properties
The formation energy is 0.441 eV per atom. Its size of the total moment is 0.0 μB/f.u.

The structure in CIF format:
```
data_BeCd2Ir
_chemical_formula_sum 'Be2 Cd4 Ir2'
_cell_length_a 2.970
_cell_length_b 4.954
_cell_length_c 8.889
_cell_angle_alpha 90.00
_cell_angle_beta 90.00
_cell_angle_gamma 90.00
_symmetry_space_group_name_H-M 'C m m m'
_symmetry_Int_Tables_number 65
_symmetry_space_group_name_Hall '-C 2 2'
loop_
_atom_site_label
_atom_site_type_symbol
_atom_site_fract_x
_atom_site_fract_y
_atom_site_fract_z
_atom_site_occupancy
Be1 Be 0.000 0.000 0.000 1
Cd1 Cd 0.000 0.500 0.236 1
Ir1 Ir 0.000 0.000 0.500 1
```

***

Record 3
Compound: La2BeCdIr
Source: Alexandria
Functional: PBE-GGA
Structure: optimized geometry

Properties
The formation energy is -0.316 eV per atom. Its size of the total moment is 0.0 μB/f.u.

The structure in CIF format:
```
data_La2BeCdIr
_chemical_formula_sum 'La2 Be1 Cd1 Ir1'
_cell_length_a 5.587
_cell_length_b 5.587
_cell_length_c 4.428
_cell_angle_alpha 90.00
_cell_angle_beta 90.00
_cell_angle_gamma 90.00
_symmetry_space_group_name_H-M 'P 4/m m m'
_symmetry_Int_Tables_number 123
_symmetry_space_group_name_Hall '-P 4 2'
loop_
_atom_site_label
_atom_site_type_symbol
_atom_site_fract_x
_atom_site_fract_y
_atom_site_fract_z
_atom_site_occupancy
La1 La 0.000 0.500 0.000 1
Be1 Be 0.000 0.000 0.500 1
Cd1 Cd 0.500 0.500 0.500 1
Ir1 Ir 0.000 0.000 0.000 1
```

***

Record 4
Compound: Be2CdIrO8
Source: Alexandria
Functional: PBE-GGA
Structure: optimized geometry

Properties
The value obtained for the uncorrected formation energy is -18.69 kcal/mol of atoms. Its size of the total moment is 2.2 μB/f.u.

The structure in CIF format:
```
data_Be2CdIrO8
_chemical_formula_sum 'Be2 Cd1 Ir1 O8'
_cell_length_a 5.2122
_cell_length_b 5.2122
_cell_length_c 6.2474
_cell_angle_alpha 90.00
_cell_angle_beta 90.00
_cell_angle_gamma 120.00
_symmetry_space_group_name_H-M 'P -3 m 1'
_symmetry_Int_Tables_number 164
_symmetry_space_group_name_Hall '-P 3 2"'
loop_
_atom_site_label
_atom_site_type_symbol
_atom_site_fract_x
_atom_site_fract_y
_atom_site_fract_z
_atom_site_occupancy
Be1 Be 0.3333 0.6667 0.2428 1
Cd1 Cd 0.0000 0.0000 0.0000 1
Ir1 Ir 0.0000 0.0000 0.5000 1
O1 O 0.1642 0.3284 0.3154 1
O2 O 0.3333 0.6667 0.9817 1
```

***

Record 5
Compound: BeCdIrO6
Source: Alexandria
Functional: PBE-GGA
Structure: optimized geometry

Properties
The value obtained for the uncorrected formation energy is -20.77 kcal/mol of atoms. Its size of the total moment is 0.0 μB/f.u.

The structure in CIF format:
```
data_BeCdIrO6
_chemical_formula_sum 'Be2 Cd2 Ir2 O12'
_cell_length_a 4.9185
_cell_length_b 4.9185
_cell_length_c 9.7179
_cell_angle_alpha 90.00
_cell_angle_beta 90.00
_cell_angle_gamma 120.00
_symmetry_space_group_name_H-M 'P -3 1 c'
_symmetry_Int_Tables_number 163
_symmetry_space_group_name_Hall '-P 3 2c'
loop_
_atom_site_label
_atom_site_type_symbol
_atom_site_fract_x
_atom_site_fract_y
_atom_site_fract_z
_atom_site_occupancy
Be1 Be 0.3333 0.6667 0.2500 1
Cd1 Cd 0.0000 0.0000 0.0000 1
Ir1 Ir 0.3333 0.6667 0.7500 1
O1 O 0.0096 0.3742 0.1449 1
```

***

Record 6
Compound: BeZnCdIr2
Source: Alexandria
Functional: PBE-GGA
Structure: optimized geometry

Properties
The formation energy is 0.887 eV per atom. Its size of the total moment is 0.0 μB/f.u.

The structure in CIF format:
```
data_BeZnCdIr2
_chemical_formula_sum 'Be1 Zn1 Cd1 Ir2'
_cell_length_a 4.602
_cell_length_b 4.602
_cell_length_c 4.025
_cell_angle_alpha 90.00
_cell_angle_beta 90.00
_cell_angle_gamma 90.00
_symmetry_space_group_name_H-M 'P 4/m m m'
_symmetry_Int_Tables_number 123
_symmetry_space_group_name_Hall '-P 4 2'
loop_
_atom_site_label
_atom_site_type_symbol
_atom_site_fract_x
_atom_site_fract_y
_atom_site_fract_z
_atom_site_occupancy
Be1 Be 0.000 0.000 0.000 1
Zn1 Zn 0.000 0.000 0.500 1
Cd1 Cd 0.500 0.500 0.000 1
Ir1 Ir 0.000 0.500 0.500 1
```

***

Record 7
Compound: KBeCd2
Source: Alexandria
Functional: PBE-GGA
Structure: optimized geometry

Properties
The formation energy is 0.430 eV per atom. Its size of the total moment is 0.0 μB/f.u.

The structure in CIF format:
```
data_KBeCd2
_chemical_formula_sum 'K2 Be2 Cd4'
_cell_length_a 4.769
_cell_length_b 6.044
_cell_length_c 8.091
_cell_angle_alpha 90.00
_cell_angle_beta 90.00
_cell_angle_gamma 90.00
_symmetry_space_group_name_H-M 'I m m 2'
_symmetry_Int_Tables_number 44
loop_
_symmetry_equiv_pos_as_xyz
'x,y,z'
'-x,-y,z'
'-x,y,z'
'x,-y,z'
'x+1/2,y+1/2,z+1/2'
'-x+1/2,-y+1/2,z+1/2'
'-x+1/2,y+1/2,z+1/2'
'x+1/2,-y+1/2,z+1/2'
loop_
_atom_site_label
_atom_site_type_symbol
_atom_site_fract_x
_atom_site_fract_y
_atom_site_fract_z
_atom_site_occupancy
K1 K 0.000 0.000 0.000 1
Be1 Be 0.000 0.500 0.870 1
Cd1 Cd 0.000 0.000 0.415 1
Cd2 Cd 0.000 0.500 0.188 1
```

***

Record 8
Compound: K2BeCd
Source: Alexandria
Functional: PBE-GGA
Structure: optimized geometry

Properties
The energy above the most stable polymorph in this dataset comes out at 0.084 eV per atom. The formation energy is 0.422 eV per atom. Its size of the total moment is 0.0 μB/f.u.

The structure in CIF format:
```
data_K2BeCd
_chemical_formula_sum 'K4 Be2 Cd2'
_cell_length_a 5.140
_cell_length_b 5.204
_cell_length_c 10.195
_cell_angle_alpha 90.00
_cell_angle_beta 90.00
_cell_angle_gamma 90.00
_symmetry_space_group_name_H-M 'C m m 2'
_symmetry_Int_Tables_number 35
loop_
_symmetry_equiv_pos_as_xyz
'x,y,z'
'-x,-y,z'
'-x,y,z'
'x,-y,z'
'x+1/2,y+1/2,z'
'-x+1/2,-y+1/2,z'
'-x+1/2,y+1/2,z'
'x+1/2,-y+1/2,z'
loop_
_atom_site_label
_atom_site_type_symbol
_atom_site_fract_x
_atom_site_fract_y
_atom_site_fract_z
_atom_site_occupancy
K1 K 0.000 0.000 0.000 1
K2 K 0.000 0.500 0.397 1
Be1 Be 0.000 0.500 0.726 1
Cd1 Cd 0.000 0.000 0.671 1
```

***

Record 9
Compound: K2BeCd
Source: Alexandria
Functional: PBE-GGA
Structure: optimized geometry

Properties
The energy above the most stable polymorph in this dataset comes out at 0.011 eV per atom. The formation energy is 0.350 eV per atom. Its size of the total moment is 0.0 μB/f.u.

The structure in CIF format:
```
data_K2BeCd
_chemical_formula_sum 'K4 Be2 Cd2'
_cell_length_a 4.734
_cell_length_b 6.042
_cell_length_c 10.539
_cell_angle_alpha 90.00
_cell_angle_beta 90.00
_cell_angle_gamma 90.00
_symmetry_space_group_name_H-M 'A m m 2'
_symmetry_Int_Tables_number 38
loop_
_symmetry_equiv_pos_as_xyz
'x,y,z'
'-x,-y,z'
'-x,y,z'
'x,-y,z'
'x,y+1/2,z+1/2'
'-x,-y+1/2,z+1/2'
'-x,y+1/2,z+1/2'
'x,-y+1/2,z+1/2'
loop_
_atom_site_label
_atom_site_type_symbol
_atom_site_fract_x
_atom_site_fract_y
_atom_site_fract_z
_atom_site_occupancy
K1 K 0.000 0.000 0.000 1
K2 K 0.500 0.000 0.332 1
Be1 Be 0.000 0.000 0.667 1
Cd1 Cd 0.500 0.000 0.665 1
```

***

Record 10
Compound: KBeCd2
Source: Alexandria
Functional: PBE-GGA
Structure: optimized geometry

Properties
The formation energy is 0.219 eV per atom. Its size of the total moment is 0.0 μB/f.u.

The structure in CIF format:
```
data_KBeCd2
_chemical_formula_sum 'K3 Be3 Cd6'
_cell_length_a 4.5730
_cell_length_b 4.5730
_cell_length_c 18.8699
_cell_angle_alpha 90.00
_cell_angle_beta 90.00
_cell_angle_gamma 120.00
_symmetry_space_group_name_H-M 'R 3 m'
_symmetry_Int_Tables_number 160
_symmetry_space_group_name_Hall 'R 3 -2"'
loop_
_atom_site_label
_atom_site_type_symbol
_atom_site_fract_x
_atom_site_fract_y
_atom_site_fract_z
_atom_site_occupancy
K1 K 0.0000 0.0000 0.0000 1
Be1 Be 0.0000 0.0000 0.8220 1
Cd1 Cd 0.0000 0.0000 0.1879 1
Cd2 Cd 0.0000 0.0000 0.4763 1
```

***

Record 11
Compound: KBeCd2
Source: Alexandria
Functional: PBE-GGA
Structure: optimized geometry

Properties
The formation energy is 0.588 eV per atom. Its size of the total moment is 0.0 μB/f.u.

The structure in CIF format:
```
data_KBeCd2
_chemical_formula_sum 'K1 Be1 Cd2'
_cell_length_a 4.668
_cell_length_b 4.668
_cell_length_c 4.687
_cell_angle_alpha 90.00
_cell_angle_beta 90.00
_cell_angle_gamma 90.00
_symmetry_space_group_name_H-M 'P 4/m m m'
_symmetry_Int_Tables_number 123
_symmetry_space_group_name_Hall '-P 4 2'
loop_
_atom_site_label
_atom_site_type_symbol
_atom_site_fract_x
_atom_site_fract_y
_atom_site_fract_z
_atom_site_occupancy
K1 K 0.000 0.000 0.000 1
Be1 Be 0.500 0.500 0.000 1
Cd1 Cd 0.000 0.500 0.500 1
```

***

Record 12
Compound: KBeCd2
Source: Alexandria
Functional: PBE-GGA
Structure: optimized geometry

Properties
The formation energy is 0.327 eV per atom. Its size of the total moment is 0.0 μB/f.u.

The structure in CIF format:
```
data_KBeCd2
_chemical_formula_sum 'K4 Be4 Cd8'
_cell_length_a 5.888
_cell_length_b 5.888
_cell_length_c 15.260
_cell_angle_alpha 90.00
_cell_angle_beta 90.00
_cell_angle_gamma 90.00
_symmetry_space_group_name_H-M 'I 41/a m d'
_symmetry_Int_Tables_number 141
loop_
_symmetry_equiv_pos_as_xyz
'x,y,z'
'-x,-y,-z'
'-y+1/4,x+3/4,z+1/4'
'y+1/4,-x+3/4,-z+1/4'
'-x+1/2,-y,z+1/2'
'x+1/2,y,-z+1/2'
'y+1/4,-x+1/4,z+3/4'
'-y+1/4,x+1/4,-z+3/4'
'x,-y,-z'
'-x,y,z'
'-y+1/4,-x+1/4,-z+3/4'
'y+1/4,x+1/4,z+3/4'
'-x+1/2,y,-z+1/2'
'x+1/2,-y,z+1/2'
'y+1/4,x+3/4,-z+1/4'
'-y+1/4,-x+3/4,z+1/4'
'x+1/2,y+1/2,z+1/2'
'-x+1/2,-y+1/2,-z+1/2'
'-y+3/4,x+1/4,z+3/4'
'y+3/4,-x+1/4,-z+3/4'
'-x,-y+1/2,z'
'x,y+1/2,-z'
'y+3/4,-x+3/4,z+1/4'
'-y+3/4,x+3/4,-z+1/4'
'x+1/2,-y+1/2,-z+1/2'
'-x+1/2,y+1/2,z+1/2'
'-y+3/4,-x+3/4,-z+1/4'
'y+3/4,x+3/4,z+1/4'
'-x,y+1/2,-z'
'x,-y+1/2,z'
'y+3/4,x+1/4,-z+3/4'
'-y+3/4,-x+1/4,z+3/4'
loop_
_atom_site_label
_atom_site_type_symbol
_atom_site_fract_x
_atom_site_fract_y
_atom_site_fract_z
_atom_site_occupancy
K1 K 0.000 0.250 0.375 1
Be1 Be 0.000 0.250 0.875 1
Cd1 Cd 0.000 0.000 0.000 1
```

***

Record 13
Compound: KBeCd2
Source: Alexandria
Functional: PBE-GGA
Structure: optimized geometry

Properties
The formation energy is 0.332 eV per atom. Its size of the total moment is 0.0 μB/f.u.

The structure in CIF format:
```
data_KBeCd2
_chemical_formula_sum 'K1 Be1 Cd2'
_cell_length_a 3.244
_cell_length_b 3.244
_cell_length_c 8.677
_cell_angle_alpha 90.00
_cell_angle_beta 90.00
_cell_angle_gamma 90.00
_symmetry_space_group_name_H-M 'P 4/m m m'
_symmetry_Int_Tables_number 123
_symmetry_space_group_name_Hall '-P 4 2'
loop_
_atom_site_label
_atom_site_type_symbol
_atom_site_fract_x
_atom_site_fract_y
_atom_site_fract_z
_atom_site_occupancy
K1 K 0.000 0.000 0.000 1
Be1 Be 0.000 0.000 0.500 1
Cd1 Cd 0.500 0.500 0.324 1
```

***

Record 14
Compound: KBeCd2
Source: Alexandria
Functional: PBE-GGA
Structure: optimized geometry

Properties
The formation energy is 0.283 eV per atom. Its size of the total moment is 0.0 μB/f.u.

The structure in CIF format:
```
data_KBeCd2
_chemical_formula_sum 'K2 Be2 Cd4'
_cell_length_a 6.603
_cell_length_b 6.600
_cell_length_c 6.065
_cell_angle_alpha 90.00
_cell_angle_beta 122.84
_cell_angle_gamma 90.00
_symmetry_space_group_name_H-M 'C 1 2 1'
_symmetry_Int_Tables_number 5
loop_
_symmetry_equiv_pos_as_xyz
'x,y,z'
'-x,y,-z'
'x+1/2,y+1/2,z'
'-x+1/2,y+1/2,-z'
loop_
_atom_site_label
_atom_site_type_symbol
_atom_site_fract_x
_atom_site_fract_y
_atom_site_fract_z
_atom_site_occupancy
K1 K 0.000 0.000 0.000 1
Be1 Be 0.000 0.750 0.500 1
Cd1 Cd 0.164 0.499 0.328 1
```